Computed, not measured: an optimized crystal structure of Ba2NaOsSe6 at the GGA-PBE level of DFT.

Cell: 7.2949 7.2949 7.2949 Å, 60.00 60.00 60.00°
Closest atoms and distances in Å follow each position.
Fractional coordinates of all 10 atoms:
Ba: 0.2500 0.2500 0.2500  12 Se 3.65
Ba: 0.7500 0.7500 0.7500  12 Se 3.65
Na: 0.5000 0.5000 0.5000  6 Se 2.68
Os: 0.0000 0.0000 0.0000  6 Se 2.48
Se: 0.2400 0.7600 0.2400  1 Os 2.48, 1 Na 2.68
Se: 0.7600 0.2400 0.2400  1 Os 2.48, 1 Na 2.68
Se: 0.7600 0.7600 0.2400  1 Os 2.48, 1 Na 2.68
Se: 0.2400 0.2400 0.7600  1 Os 2.48, 1 Na 2.68
Se: 0.7600 0.2400 0.7600  1 Os 2.48, 1 Na 2.68
Se: 0.2400 0.7600 0.7600  1 Os 2.48, 1 Na 2.68

distance to the lowest polymorph of the same formula	6.9	kJ/mol of atoms
total magnetization	0.024	μB per atom
ρ	5.82	g/cm³

***

Computed, not measured: an optimized crystal structure of BaNaPd2Pb4 at the GGA-PBE level of DFT.

Cell: 4.6500 8.1740 6.3178 Å, 90.00 111.60 90.00°
Closest atoms and distances in Å follow each position.
Fractional coordinates of all 8 atoms:
Ba: 0.5597 0.0000 0.1183  3 Pd 3.23-3.52, 4 Pb 3.58-3.59
Na: 0.4366 0.5000 0.8750  3 Pd 3.22-3.53, 4 Pb 3.48
Pb: 0.1524 0.3059 0.3042  3 Pd 2.90-2.94, 1 Pb 3.17
Pb: 0.1524 0.6941 0.3042  3 Pd 2.90-2.94, 1 Pb 3.17
Pb: 0.8519 0.2076 0.7039  3 Pd 2.91-2.99
Pb: 0.8519 0.7924 0.7039  3 Pd 2.91-2.99
Pd: 0.7116 0.5000 0.4226  6 Pb 2.90-2.91, 1 Na 3.22
Pd: 0.2837 0.0000 0.5679  6 Pb 2.94-2.99, 1 Ba 3.23

ρ	8.94	g/cm³

***

Computed, not measured: an optimized crystal structure of BaNaPt2Pb4 at the GGA-PBE level of DFT.

Cell: 4.6089 8.2415 6.3142 Å, 90.00 111.27 90.00°
Closest atoms and distances in Å follow each position.
Fractional coordinates of all 8 atoms:
Ba: 0.5639 0.0000 0.6261  3 Pt 3.27-3.49, 4 Pb 3.56
Na: 0.4332 0.5000 0.3678  3 Pt 3.26-3.49, 4 Pb 3.45-3.46
Pb: 0.8527 0.2097 0.2069  3 Pt 2.92-2.99
Pb: 0.8527 0.7903 0.2069  3 Pt 2.92-2.99
Pb: 0.1507 0.3053 0.7997  3 Pt 2.90-2.98, 1 Pb 3.21
Pb: 0.1507 0.6947 0.7997  3 Pt 2.90-2.98, 1 Pb 3.21
Pt: 0.2842 0.0000 0.0709  6 Pb 2.98-2.99, 1 Ba 3.27
Pt: 0.7118 0.5000 0.9219  6 Pb 2.90-2.92

total magnetization	0.001	μB per atom
ρ	10.25	g/cm³

***

Computed, not measured: an optimized crystal structure of BaNaPd4 at the GGA-PBE level of DFT.

Cell: 5.5739 5.5739 5.5739 Å, 60.00 60.00 60.00°
Closest atoms and distances in Å follow each position.
Fractional coordinates of all 6 atoms:
Ba: 0.7500 0.7500 0.7500  12 Pd 3.27, 4 Na 3.41
Na: 0.0000 0.0000 0.0000  12 Pd 3.27, 4 Ba 3.41
Pd: 0.3745 0.3745 0.3745  6 Pd 2.78-2.80
Pd: 0.8764 0.3745 0.3745  6 Pd 2.78-2.80
Pd: 0.3745 0.8764 0.3745  6 Pd 2.78-2.80
Pd: 0.3745 0.3745 0.8764  6 Pd 2.78-2.80

ρ	7.95	g/cm³

***

Computed, not measured: an optimized crystal structure of Ba3NaPd at the GGA-PBE level of DFT.

Cell: 6.3269 6.3269 6.3269 Å, 90.00 90.00 90.00°
Closest atoms and distances in Å follow each position.
Fractional coordinates of all 5 atoms:
Ba: 0.5000 0.5000 0.0000  2 Pd 3.16
Ba: 0.5000 0.0000 0.5000  2 Pd 3.16
Ba: 0.0000 0.5000 0.5000  2 Pd 3.16
Na: 0.0000 0.0000 0.0000  12 Ba 4.47
Pd: 0.5000 0.5000 0.5000  6 Ba 3.16

ρ	3.55	g/cm³

***

Computed, not measured: an optimized crystal structure of BaNaSn4Pd2 at the GGA-PBE level of DFT.

Cell: 7.7098 6.3506 6.3506 Å, 41.75 90.00 90.00°
Closest atoms and distances in Å follow each position.
Fractional coordinates of all 8 atoms:
Ba: 0.0000 0.5577 0.5577  3 Pd 3.24-3.52, 4 Sn 3.47
Na: 0.5000 0.4373 0.4373  3 Pd 3.24-3.52, 4 Sn 3.37
Pd: 0.0000 0.2851 0.2851  6 Sn 2.80-2.86
Pd: 0.5000 0.7100 0.7100  6 Sn 2.79-2.80
Sn: 0.3044 0.1567 0.1567  3 Pd 2.79-2.80, 1 Sn 3.02
Sn: 0.6956 0.1567 0.1567  3 Pd 2.79-2.80, 1 Sn 3.02
Sn: 0.2059 0.8483 0.8483  3 Pd 2.80-2.86
Sn: 0.7941 0.8483 0.8483  3 Pd 2.80-2.86

ρ	6.80	g/cm³

***

Computed, not measured: an optimized crystal structure of BaNaTaPd at the GGA-PBE level of DFT.

Cell: 5.2094 5.2094 5.2094 Å, 60.00 60.00 60.00°
Closest atoms and distances in Å follow each position.
Fractional coordinates of all 4 atoms:
Ba: 0.5000 0.5000 0.5000  4 Na 3.19, 4 Pd 3.19
Na: 0.7500 0.7500 0.7500  4 Ba 3.19, 4 Ta 3.19
Pd: 0.2500 0.2500 0.2500  4 Ba 3.19, 4 Ta 3.19
Ta: 0.0000 0.0000 0.0000  4 Na 3.19, 4 Pd 3.19

distance to the lowest polymorph of the same formula	6.0	kJ/mol of atoms
total magnetization	0.641	μB per atom
ρ	7.44	g/cm³

***

Computed, not measured: an optimized crystal structure of BaNaTaPd at the GGA-PBE level of DFT.

Cell: 5.2933 5.2933 5.2933 Å, 60.00 60.00 60.00°
Closest atoms and distances in Å follow each position.
Fractional coordinates of all 4 atoms:
Ba: 0.2500 0.2500 0.2500  4 Ta 3.24, 4 Pd 3.24
Na: 0.7500 0.7500 0.7500  4 Ta 3.24, 4 Pd 3.24
Pd: 0.5000 0.5000 0.5000  4 Na 3.24, 4 Ba 3.24
Ta: 0.0000 0.0000 0.0000  4 Na 3.24, 4 Ba 3.24

distance to the lowest polymorph of the same formula	28.9	kJ/mol of atoms
total magnetization	0.701	μB per atom
ρ	7.09	g/cm³

***

Computed, not measured: an optimized crystal structure of BaNaTaPd at the GGA-PBE level of DFT.

Cell: 5.0289 5.0289 5.0289 Å, 60.00 60.00 60.00°
Closest atoms and distances in Å follow each position.
Fractional coordinates of all 4 atoms:
Ba: 0.0000 0.0000 0.0000  4 Na 3.08, 4 Ta 3.08
Na: 0.7500 0.7500 0.7500  4 Ba 3.08, 4 Pd 3.08
Pd: 0.5000 0.5000 0.5000  4 Ta 3.08, 4 Na 3.08
Ta: 0.2500 0.2500 0.2500  4 Pd 3.08, 4 Ba 3.08

distance to the lowest polymorph of the same formula	0.0	kJ/mol of atoms
total magnetization	0.002	μB per atom
ρ	8.27	g/cm³

***

Computed, not measured: an optimized crystal structure of BaNaTl4Pd2 at the GGA-PBE level of DFT.

Cell: 4.4990 8.4971 6.0556 Å, 90.00 111.74 90.00°
Closest atoms and distances in Å follow each position.
Fractional coordinates of all 8 atoms:
Ba: 0.5608 0.0000 0.1219  3 Pd 3.19-3.32
Na: 0.4398 0.5000 0.8782  3 Pd 3.13-3.36, 4 Tl 3.46-3.47
Pd: 0.7172 0.5000 0.4348  6 Tl 2.87-2.89, 1 Na 3.13
Pd: 0.2770 0.0000 0.5544  6 Tl 3.00-3.01, 3 Ba 3.19-3.32
Tl: 0.1493 0.3107 0.2984  3 Pd 2.87-3.01
Tl: 0.1493 0.6893 0.2984  3 Pd 2.87-3.01
Tl: 0.8532 0.2116 0.7069  3 Pd 2.89-3.01
Tl: 0.8532 0.7884 0.7069  3 Pd 2.89-3.01

ρ	9.19	g/cm³

***

Computed, not measured: an optimized crystal structure of BaNaPm at the GGA-PBE level of DFT.

Cell: 5.8319 5.8319 5.8319 Å, 60.00 60.00 60.00°
Closest atoms and distances in Å follow each position.
Fractional coordinates of all 3 atoms:
Ba: 0.2500 0.2500 0.2500  4 Na 3.57
Na: 0.0000 0.0000 0.0000  4 Pm 3.57, 4 Ba 3.57
Pm: 0.7500 0.7500 0.7500  4 Na 3.57

total magnetization	0.601	μB per atom
ρ	3.61	g/cm³

***

Computed, not measured: an optimized crystal structure of BaNaPrSe3 at the GGA-PBE level of DFT.

Cell: 11.2917 4.4836 14.3894 Å, 90.00 90.00 90.00°
Closest atoms and distances in Å follow each position.
Fractional coordinates of all 24 atoms:
Ba: 0.2269 0.2500 0.0005  7 Se 3.29-3.54
Ba: 0.7269 0.2500 0.4995  7 Se 3.29-3.54
Ba: 0.2731 0.7500 0.5005  7 Se 3.29-3.54
Ba: 0.7731 0.7500 0.9995  7 Se 3.29-3.54
Na: 0.7651 0.2500 0.2273  4 Se 2.72-2.74
Na: 0.2651 0.2500 0.2727  4 Se 2.72-2.74
Na: 0.7349 0.7500 0.7273  4 Se 2.72-2.74
Na: 0.2349 0.7500 0.7727  4 Se 2.72-2.74
Pr: 0.5149 0.7500 0.2405  6 Se 3.01-3.09
Pr: 0.0149 0.7500 0.2595  6 Se 3.01-3.09
Pr: 0.9851 0.2500 0.7405  6 Se 3.01-3.09
Pr: 0.4851 0.2500 0.7595  6 Se 3.01-3.09
Se: 0.5751 0.2500 0.1090  1 Na 2.74, 2 Pr 3.01
Se: 0.9629 0.2500 0.1186  1 Na 2.73
Se: 0.2613 0.7500 0.1661  2 Na 2.72
Se: 0.7613 0.7500 0.3339  2 Na 2.72
Se: 0.4629 0.2500 0.3814  1 Na 2.73
Se: 0.0751 0.2500 0.3910  1 Na 2.74, 2 Pr 3.01
Se: 0.9249 0.7500 0.6090  1 Na 2.74, 2 Pr 3.01
Se: 0.5371 0.7500 0.6186  1 Na 2.73
Se: 0.2387 0.2500 0.6661  2 Na 2.72
Se: 0.7387 0.2500 0.8339  2 Na 2.72
Se: 0.0371 0.7500 0.8814  1 Na 2.73
Se: 0.4249 0.7500 0.8910  1 Na 2.74, 2 Pr 3.01

total magnetization	0.000	μB per atom
ρ	4.91	g/cm³

***

Computed, not measured: an optimized crystal structure of BaNaPrSe3 at the GGA-PBE level of DFT.

Cell: 7.5532 7.5532 11.2093 Å, 90.00 90.00 145.42°
Closest atoms and distances in Å follow each position.
Fractional coordinates of all 12 atoms:
Ba: 0.2526 0.7474 0.2500  6 Se 3.27-3.56
Ba: 0.7474 0.2526 0.7500  6 Se 3.27-3.56
Na: 0.5249 0.4751 0.2500  4 Se 2.72-2.73
Na: 0.4751 0.5249 0.7500  4 Se 2.72-2.73
Pr: 0.0000 0.0000 0.0000  6 Se 3.04-3.05
Pr: 0.0000 0.0000 0.5000  6 Se 3.04-3.05
Se: 0.6367 0.3633 0.0532  1 Na 2.73, 2 Pr 3.05
Se: 0.9178 0.0822 0.2500  2 Na 2.72, 2 Pr 3.04
Se: 0.6367 0.3633 0.4468  1 Na 2.73, 2 Pr 3.05
Se: 0.3633 0.6367 0.5532  1 Na 2.73, 2 Pr 3.05
Se: 0.0822 0.9178 0.7500  2 Na 2.72, 2 Pr 3.04
Se: 0.3633 0.6367 0.9468  1 Na 2.73, 2 Pr 3.05

total magnetization	0.000	μB per atom
ρ	4.92	g/cm³

***

Computed, not measured: an optimized crystal structure of BaNa2Pt2 at the GGA-PBE level of DFT.

Cell: 7.2313 7.2313 7.2313 Å, 144.35 144.35 51.30°
Closest atoms and distances in Å follow each position.
Fractional coordinates of all 5 atoms:
Ba: 0.0000 0.0000 0.0000  8 Pt 3.39
Na: 0.7500 0.2500 0.5000  4 Pt 2.95, 4 Na 3.13
Na: 0.2500 0.7500 0.5000  4 Pt 2.95, 4 Na 3.13
Pt: 0.3996 0.3996 0.0000  1 Pt 2.62
Pt: 0.6004 0.6004 0.0000  1 Pt 2.62

total magnetization	0.001	μB per atom
ρ	7.45	g/cm³

***

Computed, not measured: an optimized crystal structure of BaNaSbPt at the GGA-PBE level of DFT.

Cell: 5.2588 5.2588 5.2588 Å, 60.00 60.00 60.00°
Closest atoms and distances in Å follow each position.
Fractional coordinates of all 4 atoms:
Ba: 0.0000 0.0000 0.0000  4 Sb 3.22, 4 Na 3.22
Na: 0.7500 0.7500 0.7500  4 Ba 3.22, 4 Pt 3.22
Pt: 0.5000 0.5000 0.5000  4 Na 3.22, 4 Sb 3.22
Sb: 0.2500 0.2500 0.2500  4 Ba 3.22, 4 Pt 3.22

distance to the lowest polymorph of the same formula	11.8	kJ/mol of atoms
total magnetization	0.000	μB per atom
ρ	7.70	g/cm³

***

Computed, not measured: an optimized crystal structure of BaNaSbPt at the GGA-PBE level of DFT.

Cell: 5.2213 5.2213 5.2213 Å, 60.00 60.00 60.00°
Closest atoms and distances in Å follow each position.
Fractional coordinates of all 4 atoms:
Ba: 0.5000 0.5000 0.5000  4 Na 3.20, 4 Pt 3.20
Na: 0.7500 0.7500 0.7500  4 Ba 3.20, 4 Sb 3.20
Pt: 0.2500 0.2500 0.2500  4 Sb 3.20, 4 Ba 3.20
Sb: 0.0000 0.0000 0.0000  4 Pt 3.20, 4 Na 3.20

distance to the lowest polymorph of the same formula	0.0	kJ/mol of atoms
total magnetization	0.000	μB per atom
ρ	7.87	g/cm³

***

Computed, not measured: an optimized crystal structure of BaNaSbPt at the GGA-PBE level of DFT.

Cell: 5.4394 5.4394 5.4394 Å, 60.00 60.00 60.00°
Closest atoms and distances in Å follow each position.
Fractional coordinates of all 4 atoms:
Ba: 0.2500 0.2500 0.2500  4 Sb 3.33, 4 Pt 3.33
Na: 0.7500 0.7500 0.7500  4 Pt 3.33, 4 Sb 3.33
Pt: 0.5000 0.5000 0.5000  4 Na 3.33, 4 Ba 3.33
Sb: 0.0000 0.0000 0.0000  4 Na 3.33, 4 Ba 3.33

distance to the lowest polymorph of the same formula	20.9	kJ/mol of atoms
total magnetization	0.001	μB per atom
ρ	6.96	g/cm³

***

Computed, not measured: an optimized crystal structure of BaNaTbS3 at the GGA-PBE level of DFT.

Cell: 7.2206 7.2206 10.4743 Å, 90.00 90.00 145.70°
Closest atoms and distances in Å follow each position.
Fractional coordinates of all 12 atoms:
Ba: 0.2443 0.7557 0.2500  8 S 3.14-3.47
Ba: 0.7557 0.2443 0.7500  8 S 3.14-3.47
Na: 0.9731 0.0269 0.2500  4 S 2.56-2.58
Na: 0.0269 0.9731 0.7500  4 S 2.56-2.58
S: 0.8682 0.1318 0.0463  1 Na 2.58, 2 Tb 2.84
S: 0.5766 0.4234 0.2500  2 Na 2.56, 2 Tb 2.82
S: 0.8682 0.1318 0.4537  1 Na 2.58, 2 Tb 2.84
S: 0.1318 0.8682 0.5463  1 Na 2.58, 2 Tb 2.84
S: 0.4234 0.5766 0.7500  2 Na 2.56, 2 Tb 2.82
S: 0.1318 0.8682 0.9537  1 Na 2.58, 2 Tb 2.84
Tb: 0.5000 0.5000 0.0000  6 S 2.82-2.84
Tb: 0.5000 0.5000 0.5000  6 S 2.82-2.84

distance to the lowest polymorph of the same formula	0.2	kJ/mol of atoms
total magnetization	0.000	μB per atom
ρ	4.48	g/cm³

***

Computed, not measured: an optimized crystal structure of BaNaTbS3 at the GGA-PBE level of DFT.

Cell: 10.4828 4.2598 13.7921 Å, 90.00 90.00 90.00°
Closest atoms and distances in Å follow each position.
Fractional coordinates of all 24 atoms:
Ba: 0.2469 0.7500 0.0058  7 S 3.15-3.48
Ba: 0.7469 0.7500 0.4942  7 S 3.15-3.48
Ba: 0.2531 0.2500 0.5058  7 S 3.15-3.48
Ba: 0.7531 0.2500 0.9942  7 S 3.15-3.48
Na: 0.7547 0.7500 0.2231  4 S 2.56-2.58
Na: 0.2547 0.7500 0.2769  4 S 2.56-2.58
Na: 0.7453 0.2500 0.7231  4 S 2.56-2.58
Na: 0.2453 0.2500 0.7769  4 S 2.56-2.58
S: 0.5511 0.7500 0.1179  1 Na 2.58, 2 Tb 2.84
S: 0.9585 0.7500 0.1190  1 Na 2.57, 2 Tb 2.84
S: 0.2540 0.2500 0.1736  2 Na 2.56, 2 Tb 2.82
S: 0.7540 0.2500 0.3264  2 Na 2.56, 2 Tb 2.82
S: 0.4585 0.7500 0.3810  1 Na 2.57, 2 Tb 2.84
S: 0.0511 0.7500 0.3821  1 Na 2.58, 2 Tb 2.84
S: 0.9489 0.2500 0.6179  1 Na 2.58, 2 Tb 2.84
S: 0.5415 0.2500 0.6190  1 Na 2.57, 2 Tb 2.84
S: 0.2460 0.7500 0.6736  2 Na 2.56, 2 Tb 2.82
S: 0.7460 0.7500 0.8264  2 Na 2.56, 2 Tb 2.82
S: 0.0415 0.2500 0.8810  1 Na 2.57, 2 Tb 2.84
S: 0.4489 0.2500 0.8821  1 Na 2.58, 2 Tb 2.84
Tb: 0.5045 0.2500 0.2489  6 S 2.82-2.84
Tb: 0.0045 0.2500 0.2511  6 S 2.82-2.84
Tb: 0.9955 0.7500 0.7489  6 S 2.82-2.84
Tb: 0.4955 0.7500 0.7511  6 S 2.82-2.84

distance to the lowest polymorph of the same formula	0.2	kJ/mol of atoms
total magnetization	0.001	μB per atom
ρ	4.48	g/cm³

***

Computed, not measured: an optimized crystal structure of BaNaTbS3 at the GGA-PBE level of DFT.

Cell: 8.5531 4.2192 9.2006 Å, 90.00 106.46 90.00°
Closest atoms and distances in Å follow each position.
Fractional coordinates of all 12 atoms:
Ba: 0.2177 0.2500 0.2441  7 S 3.21-3.47
Ba: 0.7823 0.7500 0.7559  7 S 3.21-3.47
Na: 0.9094 0.7500 0.4143  4 S 2.61-2.77, 2 Na 2.82
Na: 0.0906 0.2500 0.5857  4 S 2.61-2.77, 2 Na 2.82
S: 0.8842 0.7500 0.1253  1 Na 2.61, 2 Tb 2.83
S: 0.4572 0.7500 0.1542  3 Tb 2.74-2.81
S: 0.7546 0.2500 0.4729  3 Na 2.63-2.77, 1 Tb 2.81
S: 0.2454 0.7500 0.5271  3 Na 2.63-2.77, 1 Tb 2.81
S: 0.5428 0.2500 0.8458  3 Tb 2.74-2.81
S: 0.1158 0.2500 0.8747  1 Na 2.61, 2 Tb 2.83
Tb: 0.6749 0.2500 0.1545  6 S 2.74-2.83
Tb: 0.3251 0.7500 0.8455  6 S 2.74-2.83

distance to the lowest polymorph of the same formula	0.0	kJ/mol of atoms
total magnetization	0.000	μB per atom
ρ	4.33	g/cm³

***

E (eV/atom)
-4.49 -3.95 -4.18 -4.40 -2.71 -4.24 -4.26 -4.02 -4.32 -3.19 -2.05 -4.76 -4.76 -3.68 -3.71 -3.83 -3.61 -5.14 -5.14 -5.14